Record 1
A plane-wave DFT calculation with GGA-PBE was carried out for a relaxed ScNiTeI2 crystal.

a = 5.6152 Å, b = 5.6152 Å, c = 5.7691 Å
α = 90.00°, β = 90.00°, γ = 90.00°
Atoms (fractional coordinates):
Sc (0.0000, 0.0000, 0.0000)
Ni (0.5000, 0.5000, 0.5000)
Te (0.0000, 0.0000, 0.5000)
I (0.0000, 0.5000, 0.0000)
I (0.5000, 0.0000, 0.0000)

As for the uncorrected formation energy: 0.1313 eV/atom. The space group is No. 123. As for the energy relative to the lowest polymorph listed for this composition: 113 meV/atom.

---

Record 2
A plane-wave DFT calculation with GGA-PBE was carried out for a relaxed LiPr2Zr crystal.

a = 3.4706 Å, b = 3.4706 Å, c = 9.6144 Å
α = 90.00°, β = 90.00°, γ = 90.00°
Atoms (fractional coordinates):
Li (0.0000, 0.0000, 0.0000)
Pr (0.5000, 0.5000, 0.2550)
Pr (0.5000, 0.5000, 0.7450)
Zr (0.0000, 0.0000, 0.5000)

The space group is No. 123. As for the energy relative to the lowest polymorph listed for this composition: 0 meV/atom.

---

Record 3
A plane-wave DFT calculation with GGA-PBE was carried out for a relaxed AsPb2Se crystal.

a = 4.3733 Å, b = 6.6304 Å, c = 6.6304 Å
α = 36.65°, β = 90.00°, γ = 90.00°
Atoms (fractional coordinates):
As (0.0000, 0.0000, 0.0000)
Pb (0.0000, 0.2368, 0.2368)
Pb (0.5000, 0.5227, 0.5227)
Se (0.5000, 0.7510, 0.7510)

As for the uncorrected formation energy: -0.1567 eV/atom. The space group is No. 38. As for the energy relative to the lowest polymorph listed for this composition: 50 meV/atom.

---

Record 4
A plane-wave DFT calculation with GGA-PBE was carried out for a relaxed YNiS3 crystal.

a = 4.4665 Å, b = 4.4665 Å, c = 4.4665 Å
α = 90.00°, β = 90.00°, γ = 90.00°
Atoms (fractional coordinates):
Y (0.0000, 0.0000, 0.0000)
Ni (0.5000, 0.5000, 0.5000)
S (0.0000, 0.5000, 0.5000)
S (0.5000, 0.0000, 0.5000)
S (0.5000, 0.5000, 0.0000)

As for the uncorrected formation energy: -0.7634 eV/atom. The space group is No. 221. As for the energy relative to the lowest polymorph listed for this composition: 0 meV/atom.

---

- Number 4 is which compound?
  YNiS3

---

- Look up the energy relative to the lowest polymorph listed for this composition of the second one.
  0 meV/atom

---

- energy relative to the lowest polymorph listed for this composition of number 1 (ScNiTeI2)?
  113 meV/atom